Model one:
# LaTaNi2

LaTaNi2 at its PBEsol-relaxed geometry (SCAN, Alexandria via LeMat-Bulk).

a = 3.862 Å, b = 3.862 Å, c = 5.214 Å
α = 111.74°, β = 111.74°, γ = 90.00°
Fractional positions:
Ta 0.500 0.500 0.000
Ni 0.000 0.000 0.000
Ni 0.750 0.250 0.500
La 0.250 0.750 0.500

- V: 66.2 Å³/cell
- Total magnetization: 0.0 μB/f.u.
- Space group: No. 119

***

Model two:
# LaTaNi2

LaTaNi2 at its PBEsol-relaxed geometry (SCAN, Alexandria via LeMat-Bulk).

a = 4.147 Å, b = 4.147 Å, c = 5.755 Å
α = 68.88°, β = 68.88°, γ = 60.00°
Fractional positions:
Ta 0.442 0.442 0.674
Ni 0.051 0.051 0.847
Ni 0.754 0.754 0.737
La 0.253 0.253 0.242

- V: 77.9 Å³/cell
- Total magnetization: 0.0 μB/f.u.
- Space group: No. 160

***

model two wins, 0.427 eV/atom ahead of the next structure.

***

Model one:
# LaZnNi

LaZnNi at its PBEsol-relaxed geometry (SCAN, Alexandria via LeMat-Bulk).

a = 4.699 Å, b = 4.699 Å, c = 4.699 Å
α = 60.00°, β = 60.00°, γ = 60.00°
Fractional positions:
Ni 0.000 0.000 0.000
La 0.250 0.250 0.250
Zn 0.500 0.500 0.500

- V: 73.4 Å³/cell
- Total magnetization: 0.0 μB/f.u.
- Space group: No. 216

***

Model two:
# LaZnNi

LaZnNi at its PBEsol-relaxed geometry (SCAN, Alexandria via LeMat-Bulk).

a = 3.849 Å, b = 4.240 Å, c = 4.240 Å
α = 120.00°, β = 90.00°, γ = 90.00°
Fractional positions:
Ni 0.500 0.333 0.667
Zn 0.500 0.667 0.333
La 0.000 0.000 0.000

- V: 59.9 Å³/cell
- Total magnetization: 0.0 μB/f.u.
- Space group: No. 187

***

model two wins, 0.791 eV/atom ahead of the next structure.

***

Model one:
# La2S2O

La2S2O at its PBEsol-relaxed geometry (SCAN, Alexandria via LeMat-Bulk).

a = 7.093 Å, b = 7.254 Å, c = 8.586 Å
α = 90.00°, β = 97.85°, γ = 90.00°
Fractional positions:
La 0.192 0.373 0.415
S 0.475 0.772 0.921
La 0.752 0.557 0.139
La 0.308 0.873 0.585
La 0.748 0.057 0.861
S 0.550 0.344 0.670
La 0.248 0.443 0.861
S 0.050 0.156 0.670
O 0.350 0.088 0.383
O 0.850 0.412 0.383
S 0.975 0.728 0.921
O 0.150 0.588 0.617
S 0.525 0.228 0.079
La 0.692 0.127 0.415
O 0.650 0.912 0.617
La 0.252 0.943 0.139
S 0.450 0.656 0.330
S 0.025 0.272 0.079
S 0.950 0.844 0.330
La 0.808 0.627 0.585

- V: 437.6 Å³/cell
- Total magnetization: 0.0 μB/f.u.
- Space group: No. 14

***

Model two:
# La2S2O

La2S2O at its PBEsol-relaxed geometry (SCAN, Alexandria via LeMat-Bulk).

a = 4.049 Å, b = 7.034 Å, c = 15.617 Å
α = 90.00°, β = 90.00°, γ = 90.00°
Fractional positions:
La 0.250 0.790 0.962
O 0.750 0.636 0.534
S 0.750 0.958 0.829
O 0.250 0.364 0.466
S 0.250 0.511 0.110
S 0.750 0.011 0.390
O 0.750 0.864 0.034
La 0.750 0.290 0.538
La 0.750 0.739 0.676
O 0.250 0.136 0.966
S 0.750 0.542 0.329
La 0.250 0.239 0.824
S 0.750 0.489 0.890
S 0.250 0.042 0.171
La 0.250 0.261 0.324
S 0.250 0.458 0.671
La 0.750 0.761 0.176
La 0.750 0.210 0.038
La 0.250 0.710 0.462
S 0.250 0.989 0.610

- V: 444.7 Å³/cell
- Total magnetization: 0.0 μB/f.u.
- Space group: No. 62

***

model one wins, 0.009 eV/atom ahead of the next structure.

***

Model one:
# LaSi3O

LaSi3O at its PBEsol-relaxed geometry (SCAN, Alexandria via LeMat-Bulk).

a = 4.364 Å, b = 4.364 Å, c = 4.364 Å
α = 90.00°, β = 90.00°, γ = 90.00°
Fractional positions:
O 0.000 0.000 0.000
La 0.500 0.500 0.500
Si 0.000 0.500 0.000
Si 0.000 0.000 0.500
Si 0.500 0.000 0.000

- V: 83.1 Å³/cell
- Total magnetization: 0.0 μB/f.u.
- Space group: No. 221

***

Model two:
# LaSi3O

LaSi3O at its PBEsol-relaxed geometry (SCAN, Alexandria via LeMat-Bulk).

a = 5.496 Å, b = 5.496 Å, c = 5.496 Å
α = 90.00°, β = 90.00°, γ = 90.00°
Last column: magnetic moment on the atom in μB.
Fractional positions:
O 0.500 0.500 0.500  1.37
La 0.000 0.000 0.000  0.12
Si 0.500 0.000 0.000  0.05
Si 0.000 0.000 0.500  0.05
Si 0.000 0.500 0.000  0.05

- V: 166.0 Å³/cell
- Total magnetization: 2.3 μB/f.u.
- Space group: No. 221

***

model one wins, 2.239 eV/atom ahead of the next structure.